Below is AcEuZnCo after structural relaxation, with properties calculated at the PBE-GGA level.

It has space group F-43m (No. 216), with a = 7.403 Å, b = 7.403 Å, c = 7.403 Å, α = 90.00°, β = 90.00° and γ = 90.00°. The distinct sites, in fractional coordinates, are Ac at (0.000, 0.000, 0.000), Eu at (0.000, 0.000, 0.500), Zn at (0.250, 0.250, 0.250) and Co at (0.250, 0.250, 0.750).

Its density of states at the Fermi level is 4.4 states/eV/f.u. Its theoretical density is 8.2 g cm⁻³. The calculation puts the formation energy at 0.030 eV per atom.